Record 1
VASP calculation (GGA-PBE) on a geometry-optimized LiSbI2O structure.

Calculated values
* space-group type: P4/mmm
* uncorrected energy: -3.03 eV per atom
* raw formation energy: -0.21 eV/atom
* V: 160.8 Å³ per cell

a b c (Å): 6.312 6.312 4.037
angles (deg): 90.00 90.00 90.00
Positions (direct):
Li  0.000  0.000  0.000
Sb  0.500  0.500  0.000
I  0.000  0.500  0.500
I  0.500  0.000  0.500
O  0.500  0.500  0.500


Record 2
VASP calculation (GGA-PBE) on a geometry-optimized Cu2Se structure.

Calculated values
* space-group type: Fd-3m
* uncorrected energy: -3.61 eV per atom
* raw formation energy: 0.28 eV/atom
* V: 89.5 Å³ per cell

a b c (Å): 5.020 5.020 5.020
angles (deg): 60.00 60.00 60.00
Positions (direct):
Cu  0.000  0.000  0.000
Cu  0.000  0.000  0.500
Cu  0.000  0.500  0.000
Cu  0.500  0.000  0.000
Se  0.375  0.375  0.375
Se  0.625  0.625  0.625


Record 3
VASP calculation (GGA-PBE) on a geometry-optimized Ba3Tc5 structure.

Calculated values
* space-group type: Cmmm
* uncorrected energy: -5.90 eV per atom
* energy of formation from the pure elements: 1.30 eV per atom
* V: 184.4 Å³ per cell

a b c (Å): 6.202 6.202 4.963
angles (deg): 90.00 90.00 104.96
Positions (direct):
Ba  0.000  0.000  0.000
Ba  0.215  0.785  0.500
Ba  0.785  0.215  0.500
Tc  0.000  0.500  0.000
Tc  0.350  0.350  0.500
Tc  0.500  0.000  0.000
Tc  0.500  0.500  0.000
Tc  0.650  0.650  0.500


Record 4
VASP calculation (GGA-PBE) on a geometry-optimized KRb2GeCl5 structure.

Calculated values
* space-group type: Cmc2_1
* uncorrected energy: -3.44 eV per atom
* raw formation energy: -1.56 eV/atom
* V: 600.3 Å³ per cell

a b c (Å): 9.407 9.407 12.899
angles (deg): 90.00 90.00 148.27
Positions (direct):
K  0.205  0.795  0.500
K  0.795  0.205  0.000
Rb  0.111  0.889  0.163
Rb  0.145  0.855  0.803
Rb  0.855  0.145  0.303
Rb  0.889  0.111  0.663
Ge  0.470  0.530  0.919
Ge  0.530  0.470  0.419
Cl  0.030  0.970  0.441
Cl  0.290  0.710  0.149
Cl  0.335  0.665  0.850
Cl  0.376  0.624  0.481
Cl  0.488  0.512  0.245
Cl  0.512  0.488  0.745
Cl  0.624  0.376  0.981
Cl  0.665  0.335  0.350
Cl  0.710  0.290  0.649
Cl  0.970  0.030  0.941


Record 5
VASP calculation (GGA-PBE) on a geometry-optimized Tb4ErPbS8 structure.

Calculated values
* space-group type: R3m
* uncorrected energy: -6.04 eV per atom
* raw formation energy: -1.77 eV/atom
* V: 384.3 Å³ per cell

a b c (Å): 8.140 8.140 8.140
angles (deg): 60.34 60.34 60.34
Positions (direct):
Tb  0.000  0.000  0.000
Tb  0.130  0.623  0.623
Tb  0.623  0.130  0.623
Tb  0.623  0.623  0.130
Er  0.623  0.623  0.623
Pb  0.249  0.249  0.249
S  0.387  0.387  0.387
S  0.391  0.391  0.833
S  0.391  0.833  0.391
S  0.399  0.865  0.865
S  0.833  0.391  0.391
S  0.865  0.399  0.865
S  0.865  0.865  0.399
S  0.867  0.867  0.867


Record 6
VASP calculation (GGA-PBE) on a geometry-optimized Pm3DyY5 structure.

Calculated values
* space-group type: P6_3/mcm
* uncorrected energy: -5.64 eV per atom
* energy of formation from the pure elements: 0.05 eV per atom
* V: 593.1 Å³ per cell

a b c (Å): 9.820 9.820 7.102
angles (deg): 90.00 90.00 120.00
Positions (direct):
Pm  0.000  0.359  0.250
Pm  0.000  0.641  0.750
Pm  0.359  0.000  0.250
Pm  0.359  0.359  0.750
Pm  0.641  0.000  0.750
Pm  0.641  0.641  0.250
Dy  0.000  0.000  0.000
Dy  0.000  0.000  0.500
Y  0.000  0.307  0.750
Y  0.000  0.693  0.250
Y  0.307  0.000  0.750
Y  0.307  0.307  0.250
Y  0.333  0.667  0.000
Y  0.333  0.667  0.500
Y  0.667  0.333  0.000
Y  0.667  0.333  0.500
Y  0.693  0.000  0.250
Y  0.693  0.693  0.750


Record 7
VASP calculation (GGA-PBE) on a geometry-optimized KCu2PbI6 structure.

Calculated values
* space-group type: C2/c
* uncorrected energy: -2.74 eV per atom
* raw formation energy: -0.51 eV/atom
* V: 856.9 Å³ per cell

a b c (Å): 10.693 10.693 7.917
angles (deg): 103.33 103.33 86.09
Positions (direct):
K  0.082  0.918  0.750
K  0.918  0.082  0.250
Cu  0.219  0.374  0.870
Cu  0.374  0.219  0.370
Cu  0.626  0.781  0.630
Cu  0.781  0.626  0.130
Pb  0.283  0.717  0.250
Pb  0.717  0.283  0.750
I  0.010  0.238  0.698
I  0.178  0.607  0.830
I  0.238  0.010  0.198
I  0.255  0.398  0.215
I  0.393  0.822  0.670
I  0.398  0.255  0.715
I  0.602  0.745  0.285
I  0.607  0.178  0.330
I  0.745  0.602  0.785
I  0.762  0.990  0.802
I  0.822  0.393  0.170
I  0.990  0.762  0.302


Record 8
VASP calculation (GGA-PBE) on a geometry-optimized LaNdDy5Y2 structure.

Calculated values
* space-group type: I4/mcm
* uncorrected energy: -4.79 eV per atom
* energy of formation from the pure elements: 0.28 eV per atom
* V: 596.6 Å³ per cell

a b c (Å): 9.907 9.907 9.907
angles (deg): 127.30 127.30 77.77
Positions (direct):
La  0.250  0.250  0.000
La  0.750  0.750  0.000
Nd  0.250  0.750  0.500
Nd  0.750  0.250  0.500
Dy  0.000  0.000  0.000
Dy  0.069  0.569  0.907
Dy  0.162  0.069  0.500
Dy  0.338  0.838  0.907
Dy  0.431  0.338  0.500
Dy  0.500  0.500  0.000
Dy  0.569  0.662  0.500
Dy  0.662  0.162  0.093
Dy  0.838  0.931  0.500
Dy  0.931  0.431  0.093
Y  0.118  0.382  0.500
Y  0.382  0.882  0.265
Y  0.618  0.118  0.735
Y  0.882  0.618  0.500


Record 9
VASP calculation (GGA-PBE) on a geometry-optimized Tm3Mg6Sc2 structure.

Calculated values
* space-group type: I4/mmm
* uncorrected energy: -3.06 eV per atom
* energy of formation from the pure elements: 0.18 eV per atom
* V: 293.0 Å³ per cell

a b c (Å): 15.859 15.859 15.859
angles (deg): 164.27 164.27 22.31
Positions (direct):
Tm  0.000  0.000  0.000
Tm  0.214  0.214  0.000
Tm  0.786  0.786  0.000
Mg  0.116  0.616  0.500
Mg  0.317  0.317  0.000
Mg  0.384  0.884  0.500
Mg  0.616  0.116  0.500
Mg  0.683  0.683  0.000
Mg  0.884  0.384  0.500
Sc  0.454  0.454  0.000
Sc  0.546  0.546  0.000


Record 10
VASP calculation (GGA-PBE) on a geometry-optimized Tb2TmSc3Se6 structure.

Calculated values
* space-group type: C2/m
* uncorrected energy: -6.13 eV per atom
* raw formation energy: -1.66 eV/atom
* V: 266.3 Å³ per cell

a b c (Å): 8.879 8.879 7.975
angles (deg): 102.94 102.94 25.79
Positions (direct):
Tb  0.168  0.168  0.336
Tb  0.832  0.832  0.664
Tm  0.500  0.500  0.000
Sc  0.169  0.169  0.832
Sc  0.500  0.500  0.500
Sc  0.831  0.831  0.168
Se  0.004  0.004  0.746
Se  0.332  0.332  0.928
Se  0.338  0.338  0.407
Se  0.662  0.662  0.593
Se  0.668  0.668  0.072
Se  0.996  0.996  0.254


Record 11
VASP calculation (GGA-PBE) on a geometry-optimized SrScNb3 structure.

Calculated values
* space-group type: Pm-3m
* uncorrected energy: -6.21 eV per atom
* energy of formation from the pure elements: 1.44 eV per atom
* V: 125.8 Å³ per cell

a b c (Å): 5.011 5.011 5.011
angles (deg): 90.00 90.00 90.00
Positions (direct):
Sr  0.000  0.000  0.000
Sc  0.500  0.500  0.500
Nb  0.000  0.500  0.500
Nb  0.500  0.000  0.500
Nb  0.500  0.500  0.000


Record 12
VASP calculation (GGA-PBE) on a geometry-optimized La2BePN structure.

Calculated values
* space-group type: P4/mmm
* uncorrected energy: -6.41 eV per atom
* raw formation energy: -0.95 eV/atom
* V: 92.7 Å³ per cell

a b c (Å): 5.293 5.293 3.307
angles (deg): 90.00 90.00 90.00
Positions (direct):
La  0.000  0.500  0.000
La  0.500  0.000  0.000
Be  0.000  0.000  0.500
P  0.500  0.500  0.500
N  0.000  0.000  0.000


Record 13
VASP calculation (GGA-PBE) on a geometry-optimized KSbBr2 structure.

Calculated values
* space-group type: Fm-3m
* uncorrected energy: -2.60 eV per atom
* raw formation energy: -0.46 eV/atom
* V: 125.8 Å³ per cell

a b c (Å): 5.624 5.624 5.624
angles (deg): 60.00 60.00 60.00
Positions (direct):
K  0.000  0.000  0.000
Sb  0.500  0.500  0.500
Br  0.250  0.250  0.250
Br  0.750  0.750  0.750


Record 14
VASP calculation (GGA-PBE) on a geometry-optimized LaThSiGe structure.

Calculated values
* space-group type: Amm2
* uncorrected energy: -6.32 eV per atom
* raw formation energy: -0.72 eV/atom
* V: 102.5 Å³ per cell

a b c (Å): 4.106 6.002 6.002
angles (deg): 43.85 90.00 90.00
Positions (direct):
La  0.000  0.000  0.000
Th  0.500  0.277  0.277
Si  0.000  0.722  0.722
Ge  0.500  0.566  0.566


Record 15
VASP calculation (GGA-PBE) on a geometry-optimized KCrCl2 structure.

Calculated values
* space-group type: C2/m
* uncorrected energy: -4.38 eV per atom
* raw formation energy: -0.78 eV/atom
* V: 103.4 Å³ per cell

a b c (Å): 5.426 5.426 3.765
angles (deg): 104.86 104.86 88.81
Positions (direct):
K  0.000  0.000  0.000
Cr  0.500  0.500  0.000
Cl  0.000  0.500  0.500
Cl  0.500  0.000  0.500


Record 16
VASP calculation (GGA-PBE) on a geometry-optimized LiScTc structure.

Calculated values
* space-group type: I4mm
* uncorrected energy: -5.93 eV per atom
* energy of formation from the pure elements: 0.27 eV per atom
* V: 52.3 Å³ per cell

a b c (Å): 7.201 7.201 7.201
angles (deg): 158.02 158.02 31.27
Positions (direct):
Li  0.000  0.000  0.000
Sc  0.692  0.692  0.000
Tc  0.346  0.346  0.000


Record 17
VASP calculation (GGA-PBE) on a geometry-optimized BeVAg structure.

Calculated values
* space-group type: P4/nmm
* uncorrected energy: -5.12 eV per atom
* energy of formation from the pure elements: 0.11 eV per atom
* V: 80.9 Å³ per cell

a b c (Å): 3.005 3.005 8.963
angles (deg): 90.00 90.00 90.00
Positions (direct):
Be  0.250  0.250  0.218
Be  0.750  0.750  0.782
V  0.250  0.250  0.933
V  0.750  0.750  0.067
Ag  0.250  0.250  0.618
Ag  0.750  0.750  0.382


Record 18
VASP calculation (GGA-PBE) on a geometry-optimized TbSmCu10 structure.

Calculated values
* space-group type: Pmmm
* uncorrected energy: -4.38 eV per atom
* energy of formation from the pure elements: -0.18 eV per atom
* V: 182.1 Å³ per cell

a b c (Å): 4.110 5.079 8.724
angles (deg): 90.00 90.00 90.00
Positions (direct):
Tb  0.000  0.000  0.000
Sm  0.000  0.500  0.500
Cu  0.000  0.000  0.332
Cu  0.000  0.000  0.668
Cu  0.000  0.500  0.165
Cu  0.000  0.500  0.835
Cu  0.500  0.000  0.500
Cu  0.500  0.249  0.248
Cu  0.500  0.249  0.752
Cu  0.500  0.500  0.000
Cu  0.500  0.751  0.248
Cu  0.500  0.751  0.752


Record 19
VASP calculation (GGA-PBE) on a geometry-optimized TaZn2Re structure.

Calculated values
* space-group type: Pmm2
* uncorrected energy: -6.54 eV per atom
* energy of formation from the pure elements: 0.18 eV per atom
* V: 63.1 Å³ per cell

a b c (Å): 2.681 4.211 5.588
angles (deg): 90.00 90.00 90.00
Positions (direct):
Ta  0.000  0.000  0.000
Zn  0.000  0.000  0.504
Zn  0.500  0.500  0.278
Re  0.500  0.500  0.772


Record 20
VASP calculation (GGA-PBE) on a geometry-optimized Ac4GeCl5 structure.

Calculated values
* space-group type: C2/m
* uncorrected energy: -4.77 eV per atom
* raw formation energy: -1.74 eV/atom
* V: 364.3 Å³ per cell

a b c (Å): 9.920 9.920 8.916
angles (deg): 105.83 105.83 25.62
Positions (direct):
Ac  0.001  0.001  0.237
Ac  0.340  0.340  0.899
Ac  0.660  0.660  0.101
Ac  0.999  0.999  0.763
Ge  0.500  0.500  0.000
Cl  0.169  0.169  0.334
Cl  0.170  0.170  0.866
Cl  0.500  0.500  0.500
Cl  0.830  0.830  0.134
Cl  0.831  0.831  0.666